An optimized crystal structure of LiIrCl2, computed with PBE.

Lattice parameters (Å, degrees): 6.7743 6.7743 6.7743 131.95 131.95 70.31
Element x y z (fractional)
Li (0.0000, 0.0000, 0.0000)
Li (0.7500, 0.2500, 0.5000)
Ir (0.2500, 0.7500, 0.5000)
Ir (0.5000, 0.5000, 0.0000)
Cl (0.1184, 0.6250, 0.9934)
Cl (0.3750, 0.3684, 0.4934)
Cl (0.6316, 0.1250, 0.0066)
Cl (0.8750, 0.8816, 0.5066)

Symmetry: I-42d (122)
Formation energy (no corrections), eV per atom: -0.12
ΔE to the lowest computed polymorph, meV/atom: 355
Theoretical density, g cm⁻³: 5.32

---

An optimized crystal structure of Zr2CoSi, computed with PBE.

Lattice parameters (Å, degrees): 6.7605 6.7605 6.7605 31.52 31.52 31.52
Element x y z (fractional)
Zr (0.2456, 0.2456, 0.2456)
Zr (0.7544, 0.7544, 0.7544)
Co (0.5000, 0.5000, 0.5000)
Si (0.0000, 0.0000, 0.0000)

Symmetry: R-3m (166)
Formation energy (no corrections), eV per atom: -0.19
Theoretical density, g cm⁻³: 5.97

---

Q: formation energy (no corrections) of number 2 (Zr2CoSi)?
A: -0.19 eV per atom

---

Q: Number 2 is which compound?
A: Zr2CoSi

---

Q: Look up the theoretical density of the second one.
A: 5.97 g cm⁻³

---

What did the second record say?
An optimized crystal structure of Zr2CoSi, computed with PBE.

Lattice parameters (Å, degrees): 6.7605 6.7605 6.7605 31.52 31.52 31.52
Element x y z (fractional)
Zr (0.2456, 0.2456, 0.2456)
Zr (0.7544, 0.7544, 0.7544)
Co (0.5000, 0.5000, 0.5000)
Si (0.0000, 0.0000, 0.0000)

Symmetry: R-3m (166)
Formation energy (no corrections), eV per atom: -0.19
Theoretical density, g cm⁻³: 5.97